{
  "formula": "NaVO",
  "functional": "PBE with a Hubbard U",
  "state": "optimized geometry",
  "cell": [[3.004, 0.000, 0.000], [1.501, 2.665, 0.000], [1.462, 0.552, 11.198]],
  "species": ["Na", "Na", "V", "V", "O", "O"],
  "frac_coords": [[0.000, 0.000, 0.000], [0.428, 0.462, 0.701], [0.181, 0.187, 0.464], [0.905, 0.948, 0.248], [0.274, 0.309, 0.147], [0.812, 0.828, 0.564]],
  "magmom_total_mub_per_fu": 0.0,
  "energy_ev_per_atom": -5.51
}